No. 1
Density functional theory data (PBE) for crystalline ScCrMo at its relaxed geometry.

POSCAR file:
```
ScCrMo
1.0
2.076 -5.016 0.000
2.076 5.016 0.000
0.000 0.000 4.667
Sc Cr Mo
2 2 2
Direct
0.090 0.910 0.750 Sc
0.910 0.090 0.250 Sc
0.238 0.762 0.250 Cr
0.762 0.238 0.750 Cr
0.391 0.609 0.750 Mo
0.609 0.391 0.250 Mo
```

Computed properties:
DOS at the Fermi energy: 7.1 states/eV per cell
Space-group type: No. 63
Crystal system: orthorhombic
Distance to the lowest polymorph of the same formula: 21 kJ/mol of formula units
ΔE_f: 0.57 eV/f.u.

---

No. 2
Density functional theory data (PBE) for crystalline Sc2CrMo at its relaxed geometry.

POSCAR file:
```
Sc2CrMo
1.0
0.000 3.329 3.329
3.329 0.000 3.329
3.329 3.329 0.000
Sc Cr Mo
2 1 1
Direct
0.250 0.250 0.250 Sc
0.750 0.750 0.750 Sc
0.000 0.000 0.000 Cr
0.500 0.500 0.500 Mo
```

Computed properties:
DOS at the Fermi energy: 5.6 states/eV per cell
Space-group type: No. 225
Crystal system: cubic
Distance to the lowest polymorph of the same formula: 84 kJ/mol of formula units
ΔE_f: 1.18 eV/f.u.

---

No. 3
Density functional theory data (PBE) for crystalline Sc2CrMo at its relaxed geometry.

POSCAR file:
```
Sc2CrMo
1.0
2.891 -4.466 0.000
2.891 4.466 0.000
-0.939 0.000 2.793
Sc Cr Mo
2 1 1
Direct
0.000 0.500 0.000 Sc
0.500 0.000 0.000 Sc
0.000 0.000 0.500 Cr
0.500 0.500 0.500 Mo
```

Computed properties:
DOS at the Fermi energy: 4.9 states/eV per cell
Space-group type: No. 12
Crystal system: monoclinic
Distance to the lowest polymorph of the same formula: 105 kJ/mol of formula units
ΔE_f: 1.40 eV/f.u.

---

No. 4
Density functional theory data (PBE) for crystalline ScCrMo at its relaxed geometry.

POSCAR file:
```
ScCrMo
1.0
-1.561 1.561 5.032
1.561 -1.561 5.032
1.561 1.561 -5.032
Sc Cr Mo
1 1 1
Direct
0.000 0.000 0.000 Sc
0.685 0.685 0.000 Cr
0.307 0.307 0.000 Mo
```

Computed properties:
DOS at the Fermi energy: 4.4 states/eV per cell
Space-group type: No. 107
Crystal system: tetragonal
Distance to the lowest polymorph of the same formula: 1 kJ/mol of formula units
ΔE_f: 0.36 eV/f.u.

---

No. 5
Density functional theory data (PBE) for crystalline Sc2CrMo2 at its relaxed geometry.

POSCAR file:
```
Sc2CrMo2
1.0
6.209 0.000 0.000
0.000 6.209 0.000
0.000 0.000 4.769
Sc Cr Mo
4 2 4
Direct
0.172 0.328 0.000 Sc
0.328 0.828 0.000 Sc
0.672 0.172 0.000 Sc
0.828 0.672 0.000 Sc
0.000 0.000 0.500 Cr
0.500 0.500 0.500 Cr
0.145 0.645 0.500 Mo
0.355 0.145 0.500 Mo
0.645 0.855 0.500 Mo
0.855 0.355 0.500 Mo
```

Computed properties:
DOS at the Fermi energy: 3.4 states/eV per cell
Space-group type: No. 127
Crystal system: tetragonal
ΔE_f: 1.09 eV/f.u.

---

No. 6
Density functional theory data (PBE) for crystalline ScCrMo at its relaxed geometry.

POSCAR file:
```
ScCrMo
1.0
5.396 -1.587 0.000
5.396 1.587 0.000
-4.996 0.000 5.993
Sc Cr Mo
2 2 2
Direct
0.076 0.076 0.295 Sc
0.924 0.924 0.705 Sc
0.375 0.375 0.343 Cr
0.625 0.625 0.657 Cr
0.313 0.313 0.924 Mo
0.687 0.687 0.076 Mo
```

Computed properties:
DOS at the Fermi energy: 6.1 states/eV per cell
Space-group type: No. 12
Crystal system: monoclinic
Distance to the lowest polymorph of the same formula: 20 kJ/mol of formula units
ΔE_f: 0.56 eV/f.u.

---

No. 7
Density functional theory data (PBE) for crystalline Sc2CrMo at its relaxed geometry.

POSCAR file:
```
Sc2CrMo
1.0
2.937 0.000 0.000
0.000 4.477 0.000
-1.076 0.000 5.486
Sc Cr Mo
2 1 1
Direct
0.239 0.000 0.248 Sc
0.761 0.000 0.752 Sc
0.000 0.500 0.500 Cr
0.500 0.500 0.000 Mo
```

Computed properties:
DOS at the Fermi energy: 4.5 states/eV per cell
Space-group type: No. 10
Crystal system: monoclinic
Distance to the lowest polymorph of the same formula: 105 kJ/mol of formula units
ΔE_f: 1.40 eV/f.u.

---

No. 8
Density functional theory data (PBE) for crystalline ScCrMo at its relaxed geometry.

POSCAR file:
```
ScCrMo
1.0
4.387 0.000 0.000
-2.194 3.799 0.000
0.000 0.000 2.869
Sc Cr Mo
1 1 1
Direct
0.000 0.000 0.000 Sc
0.667 0.333 0.377 Cr
0.333 0.667 0.623 Mo
```

Computed properties:
DOS at the Fermi energy: 3.5 states/eV per cell
Space-group type: No. 156
Crystal system: trigonal
Distance to the lowest polymorph of the same formula: 32 kJ/mol of formula units
ΔE_f: 0.68 eV/f.u.

---

- Among the records above, which one has the lowest ΔE_f?
  number 4